(1)
! Fe2Ir2Rh | Alexandria | PBE | optimized geometry; values from VASP
&SYSTEM
  ibrav = 0, nat = 10, ntyp = 3
/
ATOMIC_SPECIES
Fe 55.84 Fe.upf
Ir 192.22 Ir.upf
Rh 102.91 Rh.upf
ATOMIC_POSITIONS angstrom
Fe 2.317 0.145 0.242
Fe 1.923 -0.145 2.757
Fe 9.005 0.145 2.272
Fe 8.612 -0.145 4.786
Ir 4.371 0.341 1.740
Ir 3.978 -0.341 4.254
Ir 6.951 0.341 0.775
Ir 6.557 -0.341 3.289
Rh 5.268 1.970 3.771
Rh 5.661 -1.970 1.257
CELL_PARAMETERS angstrom
5.858 -2.335 0.000
5.858 2.335 0.000
-0.787 0.000 5.028
! DFT formation energy	0.04	eV per atom
! energy relative to the lowest polymorph listed for this composition	0	meV per atom
! space-group type	C2/c
! DOS at the Fermi energy	1.098	states/eV per atom
! size of the total moment	11.713	μB per cell



(2)
! BaFeSi3 | Alexandria | PBE | optimized geometry; values from VASP
&SYSTEM
  ibrav = 0, nat = 5, ntyp = 3
/
ATOMIC_SPECIES
Ba 137.33 Ba.upf
Fe 55.84 Fe.upf
Si 28.09 Si.upf
ATOMIC_POSITIONS angstrom
Ba 0.000 0.000 0.000
Fe 2.747 2.747 2.747
Si 0.000 0.000 2.747
Si 0.000 2.747 0.000
Si 2.747 0.000 0.000
CELL_PARAMETERS angstrom
5.495 0.000 0.000
0.000 5.495 0.000
0.000 0.000 5.495
! energy relative to the lowest polymorph listed for this composition	2571	meV per atom
! space-group type	Pm-3m
! DOS at the Fermi energy	3.443	states/eV per atom
! formation energy (no corrections)	2.61	eV per atom
! size of the total moment	0.054	μB per cell



(3)
! Tb7Pm3Sm | Alexandria | PBE | optimized geometry; values from VASP
&SYSTEM
  ibrav = 0, nat = 11, ntyp = 3
/
ATOMIC_SPECIES
Tb 158.93 Tb.upf
Pm 145.00 Pm.upf
Sm 150.36 Sm.upf
ATOMIC_POSITIONS angstrom
Tb 0.000 0.000 0.000
Tb 5.581 3.501 1.608
Tb 0.010 6.979 7.833
Tb 2.794 3.492 6.713
Tb 2.793 3.496 3.411
Tb 2.798 6.985 6.030
Tb 2.797 6.989 2.728
Pm 0.003 1.743 4.721
Pm 2.789 1.975 0.005
Pm 2.801 8.506 9.437
Sm 0.007 5.240 4.721
CELL_PARAMETERS angstrom
5.577 0.000 0.000
0.009 6.995 0.000
0.005 3.486 9.441
! DFT formation energy	0.14	eV per atom
! energy relative to the lowest polymorph listed for this composition	0	meV per atom
! space-group type	P-1
! DOS at the Fermi energy	1.487	states/eV per atom
! size of the total moment	0.000	μB per cell